Compound: La2CoIrO6
Source: the Open Quantum Materials Database
Functional: PBE+U
Structure: relaxed

```
La2CoIrO6
1.0
5.534 0.000 0.000
0.000 5.711 0.000
-5.479 0.000 7.885
La Co Ir O
4 2 2 12
direct
0.236 0.053 0.249
0.236 0.447 0.749
0.764 0.553 0.251
0.764 0.947 0.751
0.000 0.000 0.500
0.000 0.500 0.000
0.500 0.000 0.000
0.500 0.500 0.500
0.157 0.202 0.952
0.157 0.298 0.452
0.257 0.705 0.954
0.257 0.795 0.454
0.340 0.023 0.751
0.340 0.477 0.251
0.660 0.523 0.749
0.660 0.977 0.249
0.743 0.205 0.546
0.743 0.295 0.046
0.843 0.702 0.548
0.843 0.798 0.048
```

Crystal system: monoclinic
Energy: -7.449 eV per atom